# AlCdAg2 SCAN single point on PBEsol structure
data_AlCdAg2
_chemical_formula_sum 'Al3 Cd3 Ag6'
_space_group_name_H-M_alt 'R 3 m'
_space_group_IT_number 160
_space_group_name_Hall 'R 3 -2"'
_cell_length_a 2.9502
_cell_length_b 2.9502
_cell_length_c 27.6135
_cell_angle_alpha 90.00
_cell_angle_beta 90.00
_cell_angle_gamma 120.00
loop_
_atom_site_label
_atom_site_type_symbol
_atom_site_fract_x
_atom_site_fract_y
_atom_site_fract_z
_atom_site_occupancy
Al1 Al 0.0000 0.0000 0.0000 1
Cd1 Cd 0.0000 0.0000 0.7550 1
Ag1 Ag 0.0000 0.0000 0.2568 1
Ag2 Ag 0.0000 0.0000 0.5072 1
# Volume (A^3/atom): 17.34
# Calculated formation energy (meV/atom): -5.6